[1]
! AcPm5Er, relaxed, DFT PBE-GGA; values from VASP
&SYSTEM
  ibrav = 0, nat = 14, ntyp = 3
/
ATOMIC_SPECIES
Pm 145.00 Pm.upf
Ac 227.00 Ac.upf
Er 167.26 Er.upf
CELL_PARAMETERS angstrom
-6.6466 0.5805 0.9312
0.5245 -6.4440 1.8925
5.2528 6.5778 8.8813
ATOMIC_POSITIONS crystal
Pm 0.6159 0.9700 0.1698
Pm 0.0300 0.3841 0.3302
Pm 0.2417 0.5319 0.9659
Pm 0.7583 0.4681 0.0341
Pm 0.5319 0.2417 0.4659
Pm 0.8289 0.1711 0.7500
Pm 0.1711 0.8289 0.2500
Pm 0.4681 0.7583 0.5341
Pm 0.3841 0.0300 0.8302
Pm 0.9700 0.6159 0.6698
Ac 0.0000 0.0000 0.0000
Ac 0.0000 0.0000 0.5000
Er 0.5102 0.4898 0.2500
Er 0.4898 0.5102 0.7500
! - calculated formation energy (eV/atom) = 0.092

[2]
! Ce4BiTeSe2, relaxed, DFT PBE-GGA; values from VASP
&SYSTEM
  ibrav = 0, nat = 8, ntyp = 4
/
ATOMIC_SPECIES
Ce 140.12 Ce.upf
Se 78.96 Se.upf
Te 127.60 Te.upf
Bi 208.98 Bi.upf
CELL_PARAMETERS angstrom
4.3466 0.0000 0.0000
0.0000 7.6384 -0.1927
0.0000 2.6483 7.0435
ATOMIC_POSITIONS crystal
Ce 0.5000 0.7750 0.2435
Ce 0.0000 0.7761 0.7393
Ce 0.5000 0.2250 0.7565
Ce 0.0000 0.2239 0.2607
Se 0.0000 0.0000 0.0000
Se 0.5000 0.0000 0.5000
Te 0.0000 0.5000 0.5000
Bi 0.5000 0.5000 0.0000
! - E_tot (eV/atom) = -6.150